## TbPuThIn (GGA-PBE)

Data for a relaxed structure of TbPuThIn.

Computed properties:
**Total energy**: -115.69 eV/cell
**ΔH_f (0 K)**: 0.05 eV/atom
**Mass density**: 11.07 g/cm3
**Space-group type**: No. 216

a = 7.663 Å, b = 7.663 Å, c = 7.663 Å
α = 90.00°, β = 90.00°, γ = 90.00°
Fractional coordinates of all 16 atoms:
1 Tb 0.000 0.000 0.000
2 Tb 0.000 0.500 0.500
3 Tb 0.500 0.000 0.500
4 Tb 0.500 0.500 0.000
5 Pu 0.000 0.000 0.500
6 Pu 0.000 0.500 0.000
7 Pu 0.500 0.000 0.000
8 Pu 0.500 0.500 0.500
9 Th 0.250 0.250 0.750
10 Th 0.250 0.750 0.250
11 Th 0.750 0.250 0.250
12 Th 0.750 0.750 0.750
13 In 0.250 0.250 0.250
14 In 0.250 0.750 0.750
15 In 0.750 0.250 0.750
16 In 0.750 0.750 0.250

---

## TbTmPuIn (GGA-PBE)

Data for a relaxed structure of TbTmPuIn.

Computed properties:
**Total energy**: -105.28 eV/cell
**ΔH_f (0 K)**: -0.04 eV/atom
**Mass density**: 10.21 g/cm3
**Space-group type**: No. 216

a = 7.644 Å, b = 7.644 Å, c = 7.644 Å
α = 90.00°, β = 90.00°, γ = 90.00°
Fractional coordinates of all 16 atoms:
1 Tb 0.000 0.000 0.000
2 Tb 0.000 0.500 0.500
3 Tb 0.500 0.000 0.500
4 Tb 0.500 0.500 0.000
5 Tm 0.250 0.250 0.750
6 Tm 0.250 0.750 0.250
7 Tm 0.750 0.250 0.250
8 Tm 0.750 0.750 0.750
9 Pu 0.000 0.000 0.500
10 Pu 0.000 0.500 0.000
11 Pu 0.500 0.000 0.000
12 Pu 0.500 0.500 0.500
13 In 0.250 0.250 0.250
14 In 0.250 0.750 0.750
15 In 0.750 0.250 0.750
16 In 0.750 0.750 0.250

---

## TbPuZnIn (GGA-PBE)

Data for a relaxed structure of TbPuZnIn.

Computed properties:
**Total energy**: -95.13 eV/cell
**ΔH_f (0 K)**: -0.20 eV/atom
**Mass density**: 9.53 g/cm3
**Space-group type**: No. 216

a = 7.408 Å, b = 7.408 Å, c = 7.408 Å
α = 90.00°, β = 90.00°, γ = 90.00°
Fractional coordinates of all 16 atoms:
1 Tb 0.000 0.000 0.000
2 Tb 0.000 0.500 0.500
3 Tb 0.500 0.000 0.500
4 Tb 0.500 0.500 0.000
5 Pu 0.000 0.000 0.500
6 Pu 0.000 0.500 0.000
7 Pu 0.500 0.000 0.000
8 Pu 0.500 0.500 0.500
9 Zn 0.250 0.250 0.250
10 Zn 0.250 0.750 0.750
11 Zn 0.750 0.250 0.750
12 Zn 0.750 0.750 0.250
13 In 0.250 0.250 0.750
14 In 0.250 0.750 0.250
15 In 0.750 0.250 0.250
16 In 0.750 0.750 0.750

---

## PuInTc (GGA-PBE)

Data for a relaxed structure of PuInTc.

Computed properties:
**Total energy**: -108.54 eV/cell
**Energy above the lowest structure with this stoichiometry**: 37 meV per atom
**ΔH_f (0 K)**: 0.10 eV/atom
**Mass density**: 11.70 g/cm3
**Space-group type**: No. 71

a = 3.919 Å, b = 6.194 Å, c = 10.684 Å
α = 90.00°, β = 90.00°, γ = 90.00°
Fractional coordinates of all 12 atoms:
1 Pu 0.000 0.000 0.220
2 Pu 0.000 0.000 0.780
3 Pu 0.500 0.500 0.280
4 Pu 0.500 0.500 0.720
5 In 0.000 0.263 0.500
6 In 0.000 0.737 0.500
7 In 0.500 0.237 0.000
8 In 0.500 0.763 0.000
9 Tc 0.000 0.500 0.129
10 Tc 0.000 0.500 0.871
11 Tc 0.500 0.000 0.371
12 Tc 0.500 0.000 0.629

---

## PuInTc2 (GGA-PBE)

Data for a relaxed structure of PuInTc2.

Computed properties:
**Total energy**: -149.96 eV/cell
**ΔH_f (0 K)**: 0.08 eV/atom
**Mass density**: 12.75 g/cm3
**Space-group type**: No. 225

a = 6.612 Å, b = 6.612 Å, c = 6.612 Å
α = 90.00°, β = 90.00°, γ = 90.00°
Fractional coordinates of all 16 atoms:
1 Pu 0.000 0.000 0.000
2 Pu 0.000 0.500 0.500
3 Pu 0.500 0.000 0.500
4 Pu 0.500 0.500 0.000
5 In 0.000 0.000 0.500
6 In 0.000 0.500 0.000
7 In 0.500 0.000 0.000
8 In 0.500 0.500 0.500
9 Tc 0.250 0.250 0.250
10 Tc 0.250 0.250 0.750
11 Tc 0.250 0.750 0.250
12 Tc 0.250 0.750 0.750
13 Tc 0.750 0.250 0.250
14 Tc 0.750 0.250 0.750
15 Tc 0.750 0.750 0.250
16 Tc 0.750 0.750 0.750

---

## PuInTc2 (GGA-PBE)

Data for a relaxed structure of PuInTc2.

Computed properties:
**Total energy**: -37.50 eV/cell
**ΔH_f (0 K)**: 0.08 eV/atom
**Mass density**: 12.74 g/cm3
**Space-group type**: No. 123

a = 4.558 Å, b = 4.558 Å, c = 3.481 Å
α = 90.00°, β = 90.00°, γ = 90.00°
Fractional coordinates of all 4 atoms:
1 Pu 0.000 0.000 0.000
2 In 0.500 0.500 0.000
3 Tc 0.000 0.500 0.500
4 Tc 0.500 0.000 0.500

---

## Pu3InTc (GGA-PBE)

Data for a relaxed structure of Pu3InTc.

Computed properties:
**Total energy**: -53.99 eV/cell
**Energy above the lowest structure with this stoichiometry**: 379 meV per atom
**ΔH_f (0 K)**: 0.42 eV/atom
**Mass density**: 15.13 g/cm3
**Space-group type**: No. 187

a = 6.249 Å, b = 6.249 Å, c = 3.066 Å
α = 90.00°, β = 90.00°, γ = 120.00°
Fractional coordinates of all 5 atoms:
1 Pu 0.082 0.541 0.000
2 Pu 0.459 0.541 0.000
3 Pu 0.459 0.918 0.000
4 In 0.000 0.000 0.500
5 Tc 0.667 0.333 0.500

---

## Pu3InTc (GGA-PBE)

Data for a relaxed structure of Pu3InTc.

Computed properties:
**Total energy**: -55.16 eV/cell
**Energy above the lowest structure with this stoichiometry**: 146 meV per atom
**ΔH_f (0 K)**: 0.19 eV/atom
**Mass density**: 11.15 g/cm3
**Space-group type**: No. 221

a = 5.201 Å, b = 5.201 Å, c = 5.201 Å
α = 90.00°, β = 90.00°, γ = 90.00°
Fractional coordinates of all 5 atoms:
1 Pu 0.000 0.000 0.500
2 Pu 0.000 0.500 0.000
3 Pu 0.500 0.000 0.000
4 In 0.500 0.500 0.500
5 Tc 0.000 0.000 0.000

---

## PuInTc (GGA-PBE)

Data for a relaxed structure of PuInTc.

Computed properties:
**Total energy**: -54.49 eV/cell
**Energy above the lowest structure with this stoichiometry**: 0 meV per atom
**ΔH_f (0 K)**: 0.06 eV/atom
**Mass density**: 12.00 g/cm3
**Space-group type**: No. 107

a = 3.269 Å, b = 3.269 Å, c = 11.831 Å
α = 90.00°, β = 90.00°, γ = 90.00°
Fractional coordinates of all 6 atoms:
1 Pu 0.000 0.000 0.000
2 Pu 0.500 0.500 0.500
3 In 0.000 0.000 0.286
4 In 0.500 0.500 0.786
5 Tc 0.000 0.000 0.640
6 Tc 0.500 0.500 0.140

---

## Pu3InTc (GGA-PBE)

Data for a relaxed structure of Pu3InTc.

Computed properties:
**Total energy**: -111.78 eV/cell
**Energy above the lowest structure with this stoichiometry**: 0 meV per atom
**ΔH_f (0 K)**: 0.04 eV/atom
**Mass density**: 14.76 g/cm3
**Space-group type**: No. 11

a = 5.714 Å, b = 5.194 Å, c = 7.413 Å
α = 90.00°, β = 104.92°, γ = 90.00°
Fractional coordinates of all 10 atoms:
1 Pu 0.099 0.250 0.087
2 Pu 0.196 0.750 0.665
3 Pu 0.347 0.250 0.419
4 Pu 0.653 0.750 0.581
5 Pu 0.804 0.250 0.335
6 Pu 0.901 0.750 0.913
7 In 0.477 0.750 0.133
8 In 0.523 0.250 0.867
9 Tc 0.052 0.750 0.308
10 Tc 0.948 0.250 0.692

---

## PuThInTc (GGA-PBE)

Data for a relaxed structure of PuThInTc.

Computed properties:
**Total energy**: -35.26 eV/cell
**Energy above the lowest structure with this stoichiometry**: 0 meV per atom
**ΔH_f (0 K)**: -0.10 eV/atom
**Mass density**: 11.69 g/cm3
**Space-group type**: No. 99

a = 3.368 Å, b = 3.368 Å, c = 8.625 Å
α = 90.00°, β = 90.00°, γ = 90.00°
Fractional coordinates of all 4 atoms:
1 Pu 0.000 0.000 0.000
2 Th 0.000 0.000 0.412
3 In 0.500 0.500 0.716
4 Tc 0.500 0.500 0.196

---

## PuThInTc (GGA-PBE)

Data for a relaxed structure of PuThInTc.

Computed properties:
**Total energy**: -139.41 eV/cell
**Energy above the lowest structure with this stoichiometry**: 102 meV per atom
**ΔH_f (0 K)**: 0.00 eV/atom
**Mass density**: 12.89 g/cm3
**Space-group type**: No. 216

a = 7.081 Å, b = 7.081 Å, c = 7.081 Å
α = 90.00°, β = 90.00°, γ = 90.00°
Fractional coordinates of all 16 atoms:
1 Pu 0.000 0.000 0.000
2 Pu 0.000 0.500 0.500
3 Pu 0.500 0.000 0.500
4 Pu 0.500 0.500 0.000
5 Th 0.250 0.250 0.250
6 Th 0.250 0.750 0.750
7 Th 0.750 0.250 0.750
8 Th 0.750 0.750 0.250
9 In 0.250 0.250 0.750
10 In 0.250 0.750 0.250
11 In 0.750 0.250 0.250
12 In 0.750 0.750 0.750
13 Tc 0.000 0.000 0.500
14 Tc 0.000 0.500 0.000
15 Tc 0.500 0.000 0.000
16 Tc 0.500 0.500 0.500